# 1
{"formula": "TaOs2W", "functional": "PBE-GGA", "state": "optimized geometry", "magmom_total_mub_per_atom": 0.000, "e_form_mev_per_atom": -27, "space_group": "P4/mmm", "lattice": [[4.023, 0.000, 0.000], [0.000, 4.023, 0.000], [0.000, 0.000, 3.883]], "species": ["Ta", "Os", "Os", "W"], "fractional_positions": [[0.000, 0.000, 0.000], [0.000, 0.500, 0.500], [0.500, 0.000, 0.500], [0.500, 0.500, 0.000]]}

---

# 2
{"formula": "TaOs2W", "functional": "PBE-GGA", "state": "optimized geometry", "magmom_total_mub_per_atom": 0.000, "e_form_mev_per_atom": 7, "space_group": "Cm", "lattice": [[4.720, -1.415, 0.000], [4.720, 1.415, 0.000], [-0.797, 0.000, 4.732]], "species": ["Ta", "Os", "Os", "W"], "fractional_positions": [[0.000, 0.000, 0.000], [0.245, 0.245, 0.774], [0.514, 0.514, 0.509], [0.768, 0.768, 0.296]]}

---

# 3
{"formula": "TaOs2W", "functional": "PBE-GGA", "state": "optimized geometry", "magmom_total_mub_per_atom": 0.000, "e_form_mev_per_atom": 69, "space_group": "P4mm", "lattice": [[2.764, 0.000, 0.000], [0.000, 2.764, 0.000], [0.000, 0.000, 8.363]], "species": ["Ta", "Os", "Os", "W"], "fractional_positions": [[0.000, 0.000, 0.000], [0.000, 0.000, 0.525], [0.500, 0.500, 0.738], [0.500, 0.500, 0.274]]}

---

# 4
{"formula": "Ta6OsW5", "functional": "PBE-GGA", "state": "optimized geometry", "magmom_total_mub_per_atom": 0.000, "e_form_mev_per_atom": -192, "space_group": "Immm", "lattice": [[-2.283, 3.231, 6.863], [2.283, -3.231, 6.863], [2.283, 3.231, -6.863]], "species": ["Ta", "Ta", "Ta", "Ta", "Ta", "Ta", "Os", "W", "W", "W", "W", "W"], "fractional_positions": [[0.084, 0.334, 0.750], [0.249, 0.000, 0.249], [0.416, 0.666, 0.750], [0.584, 0.334, 0.250], [0.751, 0.000, 0.751], [0.916, 0.666, 0.250], [0.000, 0.500, 0.500], [0.166, 0.166, 0.000], [0.334, 0.834, 0.500], [0.500, 0.500, 0.000], [0.666, 0.166, 0.500], [0.834, 0.834, 0.000]]}

---

# 5
{"formula": "TaOs2W", "functional": "PBE-GGA", "state": "optimized geometry", "magmom_total_mub_per_atom": 0.000, "e_form_mev_per_atom": 82, "space_group": "Pm", "lattice": [[2.796, 0.000, 0.000], [0.000, 4.462, 0.000], [-1.004, 0.000, 5.091]], "species": ["Ta", "Os", "Os", "W"], "fractional_positions": [[0.000, 0.000, 0.000], [0.251, 0.500, 0.798], [0.538, 0.000, 0.487], [0.812, 0.500, 0.290]]}

---

# 6
{"formula": "Ta4OsW3", "functional": "PBE-GGA", "state": "optimized geometry", "magmom_total_mub_per_atom": 0.000, "e_form_mev_per_atom": -220, "space_group": "Pmmm", "lattice": [[3.215, 0.000, 0.000], [0.000, 4.573, 0.000], [0.000, 0.000, 9.148]], "species": ["Ta", "Ta", "Ta", "Ta", "Os", "W", "W", "W"], "fractional_positions": [[0.000, 0.000, 0.000], [0.000, 0.000, 0.500], [0.000, 0.500, 0.248], [0.000, 0.500, 0.752], [0.500, 0.500, 0.000], [0.500, 0.000, 0.248], [0.500, 0.000, 0.752], [0.500, 0.500, 0.500]]}

---

# 7
{"formula": "TaOs2W", "functional": "PBE-GGA", "state": "optimized geometry", "magmom_total_mub_per_atom": 0.000, "e_form_mev_per_atom": 149, "space_group": "R-3m", "lattice": [[1.400, 0.808, 9.255], [-1.400, 0.808, 9.255], [0.000, -1.616, 9.255]], "species": ["Ta", "Os", "Os", "W"], "fractional_positions": [[0.000, 0.000, 0.000], [0.247, 0.247, 0.247], [0.753, 0.753, 0.753], [0.500, 0.500, 0.500]]}

---

# 8
{"formula": "TaOsW", "functional": "PBE-GGA", "state": "optimized geometry", "magmom_total_mub_per_atom": 0.000, "e_form_mev_per_atom": 0, "space_group": "Cm", "lattice": [[5.033, -1.597, 0.000], [5.033, 1.597, 0.000], [-1.007, 0.000, 3.030]], "species": ["Ta", "Os", "W"], "fractional_positions": [[0.000, 0.000, 0.000], [0.334, 0.334, 0.334], [0.664, 0.664, 0.666]]}

---

# 9
{"formula": "Ta3Os2W", "functional": "PBE-GGA", "state": "optimized geometry", "magmom_total_mub_per_atom": 0.000, "e_form_mev_per_atom": -257, "space_group": "P4/mmm", "lattice": [[3.206, 0.000, 0.000], [0.000, 3.206, 0.000], [0.000, 0.000, 9.617]], "species": ["Ta", "Ta", "Ta", "Os", "Os", "W"], "fractional_positions": [[0.000, 0.000, 0.000], [0.000, 0.000, 0.336], [0.000, 0.000, 0.664], [0.500, 0.500, 0.163], [0.500, 0.500, 0.837], [0.500, 0.500, 0.500]]}

---

# 10
{"formula": "Ta4Os2W", "functional": "PBE-GGA", "state": "optimized geometry", "magmom_total_mub_per_atom": 0.000, "e_form_mev_per_atom": -34, "space_group": "I4/mmm", "lattice": [[-3.186, 3.186, 3.124], [3.186, -3.186, 3.124], [3.186, 3.186, -3.124]], "species": ["Ta", "Ta", "Ta", "Ta", "Os", "Os", "W"], "fractional_positions": [[0.000, 0.000, 0.500], [0.000, 0.500, 0.000], [0.500, 0.000, 0.000], [0.500, 0.500, 0.500], [0.000, 0.500, 0.500], [0.500, 0.000, 0.500], [0.000, 0.000, 0.000]]}

---

# 11
{"formula": "Ta5OsW4", "functional": "PBE-GGA", "state": "optimized geometry", "magmom_total_mub_per_atom": 0.000, "e_form_mev_per_atom": -180, "space_group": "P4/mmm", "lattice": [[3.226, 0.000, 0.000], [0.000, 3.226, 0.000], [0.000, 0.000, 16.202]], "species": ["Ta", "Ta", "Ta", "Ta", "Ta", "Os", "W", "W", "W", "W"], "fractional_positions": [[0.000, 0.000, 0.000], [0.000, 0.000, 0.202], [0.000, 0.000, 0.401], [0.000, 0.000, 0.599], [0.000, 0.000, 0.798], [0.500, 0.500, 0.500], [0.500, 0.500, 0.101], [0.500, 0.500, 0.302], [0.500, 0.500, 0.698], [0.500, 0.500, 0.899]]}

---

# 12
{"formula": "TaOs2W", "functional": "PBE-GGA", "state": "optimized geometry", "magmom_total_mub_per_atom": 0.189, "e_form_mev_per_atom": 211, "space_group": "F-43m", "lattice": [[0.000, 3.161, 3.161], [3.161, 0.000, 3.161], [3.161, 3.161, 0.000]], "species": ["Ta", "Os", "Os", "W"], "fractional_positions": [[0.000, 0.000, 0.000], [0.500, 0.500, 0.500], [0.750, 0.750, 0.750], [0.250, 0.250, 0.250]]}